No. 1
Pr3HoSc3Te8 PBE optimized geometry; space group = No. 166; formation energy (no corrections) = -1.32 eV per atom
1.0
4.306 2.486 7.168
-4.306 2.486 7.168
0.000 -4.972 7.168
Pr Ho Sc Te
3 1 3 8
Direct
0.000 0.500 0.500 Pr
0.500 0.000 0.500 Pr
0.500 0.500 0.000 Pr
0.500 0.500 0.500 Ho
0.000 0.000 0.500 Sc
0.000 0.500 0.000 Sc
0.500 0.000 0.000 Sc
0.228 0.754 0.754 Te
0.241 0.241 0.241 Te
0.246 0.246 0.772 Te
0.246 0.772 0.246 Te
0.754 0.228 0.754 Te
0.754 0.754 0.228 Te
0.759 0.759 0.759 Te
0.772 0.246 0.246 Te

---

No. 2
AcSm3Ag4 PBE optimized geometry; energy relative to the elements = -258 meV per atom; space group = No. 123
1.0
5.360 0.000 0.000
0.000 5.360 0.000
0.000 0.000 7.495
Ac Sm Ag
1 3 4
Direct
0.000 0.000 0.000 Ac
0.000 0.000 0.500 Sm
0.500 0.500 0.000 Sm
0.500 0.500 0.500 Sm
0.000 0.500 0.267 Ag
0.000 0.500 0.733 Ag
0.500 0.000 0.267 Ag
0.500 0.000 0.733 Ag

---

No. 3
VW2SN PBE optimized geometry; space group = No. 123; formation energy (no corrections) = 0.29 eV per atom
1.0
4.128 0.000 0.000
0.000 4.128 0.000
0.000 0.000 3.958
V W S N
1 2 1 1
Direct
0.000 0.000 0.000 V
0.000 0.500 0.500 W
0.500 0.000 0.500 W
0.500 0.500 0.000 S
0.000 0.000 0.500 N

---

No. 4
CdOsN3 PBE optimized geometry; space group = No. 221; formation energy (no corrections) = 3.20 eV per atom
1.0
4.005 0.000 0.000
0.000 4.005 0.000
0.000 0.000 4.005
Cd Os N
1 1 3
Direct
0.000 0.000 0.000 Cd
0.500 0.500 0.500 Os
0.000 0.000 0.500 N
0.000 0.500 0.000 N
0.500 0.000 0.000 N

---

No. 5
LiHoTcSn PBE optimized geometry; energy relative to the elements = -177 meV per atom; space group = No. 216
1.0
0.000 3.358 3.358
3.358 0.000 3.358
3.358 3.358 0.000
Li Ho Tc Sn
1 1 1 1
Direct
0.000 0.000 0.000 Li
0.250 0.250 0.250 Ho
0.500 0.500 0.500 Tc
0.750 0.750 0.750 Sn

---

No. 6
YCuBr2 PBE optimized geometry; space group = No. 166; formation energy (no corrections) = -0.57 eV per atom
1.0
1.857 1.072 9.765
-1.857 1.072 9.765
0.000 -2.144 9.765
Y Cu Br
1 1 2
Direct
0.000 0.000 0.000 Y
0.500 0.500 0.500 Cu
0.269 0.269 0.269 Br
0.731 0.731 0.731 Br

---

Number 1: total energy -0.2031 Ha/atom, total moment 0.000 μB per cell. Number 2: total energy -0.1458 Ha/atom, total moment 0.000 μB per cell. Number 3: total energy -0.3383 Ha/atom, total moment 0.000 μB per cell. Number 4: total energy -0.1554 Ha/atom, total moment 0.001 μB per cell. Number 5: total energy -0.1981 Ha/atom, total moment 0.000 μB per cell. Number 6: total energy -0.1486 Ha/atom, total moment 0.000 μB per cell.